Record 1
Pu3Ge3Ir: optimized geometry, PBE-GGA.

As for the relative energy among the computed polymorphs: 0.0 meV/atom. The value obtained for the calculated total energy is -9.874 eV per atom. The formation energy is -487 meV/atom. The size of the total moment is 5.55 μB per formula unit.

Unit cell a=4.3566 b=5.7081 c=13.3811 alpha=78.17 beta=80.63 gamma=67.57
Fractional coordinates of all 14 atoms:
Pu (0.5289, 0.3263, 0.6160)
Pu (0.4711, 0.6737, 0.3840)
Pu (0.2508, 0.2754, 0.2230)
Pu (0.7492, 0.7246, 0.7770)
Pu (0.4100, 0.2725, 0.9074)
Pu (0.5900, 0.7275, 0.0926)
Ge (0.8503, 0.7599, 0.5395)
Ge (0.1497, 0.2401, 0.4605)
Ge (0.1205, 0.8220, 0.9370)
Ge (0.8795, 0.1780, 0.0630)
Ge (0.9563, 0.8525, 0.2350)
Ge (0.0437, 0.1475, 0.7650)
Ir (0.7470, 0.1279, 0.3782)
Ir (0.2530, 0.8721, 0.6218)

---

Record 2
Pu2Ge5Ir3: optimized geometry, PBE-GGA.

As for the relative energy among the computed polymorphs: 0.0 meV/atom. The value obtained for the calculated total energy is -8.361 eV per atom. The formation energy is -528 meV/atom. The size of the total moment is 10.29 μB per formula unit.

Unit cell a=6.0167 b=8.4354 c=8.4354 alpha=75.34 beta=69.11 gamma=69.11
Fractional coordinates of all 20 atoms:
Pu (0.1355, 0.5921, 0.1369)
Pu (0.6355, 0.1369, 0.5921)
Pu (0.8645, 0.4079, 0.8631)
Pu (0.3645, 0.8631, 0.4079)
Ge (0.4031, 0.2597, 0.9342)
Ge (0.9031, 0.9342, 0.2597)
Ge (0.5969, 0.7403, 0.0658)
Ge (0.0969, 0.0658, 0.7403)
Ge (0.4718, 0.7782, 0.7782)
Ge (0.5282, 0.2218, 0.2218)
Ge (0.7500, 0.5000, 0.5000)
Ge (0.2500, 0.5000, 0.5000)
Ge (0.0282, 0.2218, 0.2218)
Ge (0.9718, 0.7782, 0.7782)
Ir (0.3572, 0.5328, 0.7528)
Ir (0.8572, 0.7528, 0.5328)
Ir (0.6428, 0.4672, 0.2472)
Ir (0.1428, 0.2472, 0.4672)
Ir (0.2500, 0.0000, 0.0000)
Ir (0.7500, 0.0000, 0.0000)

---

Record 3
Pu6Ge3Ir: optimized geometry, PBE-GGA.

The value obtained for the calculated total energy is -11.205 eV per atom. The formation energy is -334 meV/atom. The size of the total moment is 11.98 μB per formula unit.

Unit cell a=8.0971 b=7.6283 c=7.6283 alpha=94.37 beta=90.00 gamma=90.00
Fractional coordinates of all 20 atoms:
Pu (0.1485, 0.6660, 0.6660)
Pu (0.6485, 0.6660, 0.6660)
Pu (0.3986, 0.5008, 0.0115)
Pu (0.8986, 0.0115, 0.5008)
Pu (0.1402, 0.1767, 0.8233)
Pu (0.6568, 0.1767, 0.8233)
Pu (0.1568, 0.8233, 0.1767)
Pu (0.6402, 0.8233, 0.1767)
Pu (0.3986, 0.9885, 0.4992)
Pu (0.8986, 0.4992, 0.9885)
Pu (0.1485, 0.3340, 0.3340)
Pu (0.6485, 0.3340, 0.3340)
Ge (0.3985, 0.8791, 0.8738)
Ge (0.8985, 0.8738, 0.8791)
Ge (0.3985, 0.3675, 0.6325)
Ge (0.8985, 0.6325, 0.3675)
Ge (0.8985, 0.1209, 0.1262)
Ge (0.3985, 0.1262, 0.1209)
Ir (0.8985, 0.3960, 0.6040)
Ir (0.3985, 0.6040, 0.3960)

---

Record 4
Pu8Ge2Ir: optimized geometry, PBE-GGA.

The value obtained for the calculated total energy is -12.258 eV per atom. The formation energy is -190 meV/atom. The size of the total moment is 22.27 μB per formula unit.

Unit cell a=4.8612 b=7.2391 c=7.9401 alpha=112.42 beta=107.83 gamma=90.00
Fractional coordinates of all 11 atoms:
Ge (0.1916, 0.6729, 0.3832)
Ge (0.8084, 0.3271, 0.6168)
Ir (0.5000, 0.0000, 0.0000)
Pu (0.5951, 0.4433, 0.1901)
Pu (0.3427, 0.0941, 0.6855)
Pu (0.1641, 0.2279, 0.3282)
Pu (0.9914, 0.7132, 0.9827)
Pu (0.8359, 0.7721, 0.6718)
Pu (0.6573, 0.9059, 0.3145)
Pu (0.4049, 0.5567, 0.8099)
Pu (0.0086, 0.2868, 0.0173)

---

Record 5
Pu2Ge2Ir: optimized geometry, PBE-GGA.

As for the relative energy among the computed polymorphs: 24.5 meV/atom. The value obtained for the calculated total energy is -9.876 eV per atom. The formation energy is -524 meV/atom. The size of the total moment is 10.82 μB per formula unit.

Unit cell a=4.0638 b=5.6690 c=5.6690 alpha=60.82 beta=69.00 gamma=69.00
Fractional coordinates of all 5 atoms:
Pu (0.7948, 0.7052, 0.7052)
Pu (0.2052, 0.2948, 0.2948)
Ge (0.5000, 0.7402, 0.2598)
Ge (0.5000, 0.2598, 0.7402)
Ir (0.0000, 0.0000, 0.0000)

---

Record 6
Pu2Ge2Ir3: optimized geometry, PBE-GGA.

The value obtained for the calculated total energy is -9.651 eV per atom. The formation energy is -439 meV/atom. The size of the total moment is 9.48 μB per formula unit.

Unit cell a=4.0435 b=5.5571 c=6.3731 alpha=99.03 beta=90.00 gamma=111.33
Fractional coordinates of all 7 atoms:
Pu (0.6097, 0.2194, 0.3034)
Pu (0.3903, 0.7806, 0.6966)
Ge (0.1099, 0.2199, 0.6631)
Ge (0.8901, 0.7801, 0.3369)
Ir (0.3190, 0.6380, 0.1139)
Ir (0.0000, 0.0000, 0.0000)
Ir (0.6810, 0.3620, 0.8861)

---

Record 7
Pu8Ge3Ir: optimized geometry, PBE-GGA.

The value obtained for the calculated total energy is -11.515 eV per atom. The formation energy is -68 meV/atom. The size of the total moment is 0.53 μB per formula unit.

Unit cell a=7.7975 b=7.3131 c=7.3849 alpha=60.54 beta=88.60 gamma=121.38
Fractional coordinates of all 12 atoms:
Pu (0.2112, 0.0000, 0.6718)
Pu (0.5601, 0.6709, 0.3273)
Pu (0.8892, 0.3291, 0.9982)
Pu (0.4014, 0.0000, 0.9562)
Pu (0.7466, 0.0000, 0.6987)
Pu (0.8237, 0.4781, 0.3671)
Pu (0.3456, 0.5219, 0.8452)
Pu (0.1463, 0.0000, 0.2944)
Ge (0.7459, 0.6054, 0.6850)
Ge (0.1405, 0.3946, 0.2904)
Ge (0.5017, 0.0000, 0.3948)
Ir (0.9881, 0.0000, 0.9711)

---

Record 8
PuGe3Ir: optimized geometry, PBE-GGA.

The value obtained for the calculated total energy is -7.829 eV per atom. The formation energy is -420 meV/atom. The size of the total moment is 4.95 μB per formula unit.

Unit cell a=5.7778 b=5.6629 c=6.0721 alpha=90.00 beta=90.00 gamma=90.00
Fractional coordinates of all 10 atoms:
Pu (0.4221, 0.3215, 0.7008)
Pu (0.9222, 0.0312, 0.2007)
Ge (0.3620, 0.2715, 0.2008)
Ge (0.4670, 0.8670, 0.9648)
Ge (0.9669, 0.4858, 0.4648)
Ge (0.8620, 0.0813, 0.7008)
Ge (0.9670, 0.4858, 0.9368)
Ge (0.4670, 0.8670, 0.4368)
Ir (0.1600, 0.7840, 0.7007)
Ir (0.6601, 0.5688, 0.2007)